Computed, not measured: an optimized crystal structure of TlCuHRh2 at the PBE level of DFT.

```
TlCuHRh2
1.0
4.113 0.000 0.000
0.000 4.113 0.000
0.000 0.000 3.835
Tl Cu H Rh
1 1 1 2
Direct
0.000 0.000 0.000
0.500 0.500 0.000
0.500 0.500 0.500
0.000 0.500 0.500
0.500 0.000 0.500
```

Summary:
- symmetry = P4/mmm (123)
- E_tot (eV/cell) = -24.39
- calculated volume (Å³/cell) = 64.9
- density of states at the Fermi level (states/eV/f.u.) = 3.022
- spin magnetization (μB per formula unit) = 0.00